SrZrTa2: PBEsol geometry, meta-GGA SCAN.

a = 3.0327 Å, b = 4.6176 Å, c = 6.8826 Å
α = 90.00°, β = 99.79°, γ = 90.00°
Closest atoms and distances in Å follow each position.
Space group Pm (No. 6)
One atom of each set of equivalent atoms:
Sr: 0.0000 0.0000 0.0000  2 Sr 3.03, 3 Ta 3.31-3.39, 2 Zr 3.39
Zr: 0.2006 0.5000 0.6641  3 Ta 2.69-2.89
Ta: 0.5181 0.0000 0.4766  4 Ta 2.72-3.03, 2 Zr 2.89
Ta: 0.7102 0.5000 0.2994  1 Zr 2.69, 2 Ta 2.72

## Properties
Size of the total moment   0.00 Bohr magnetons per cell
Energy above the most stable polymorph in this dataset   0.0 meV/atom
E_form   57.4 kJ per mole of atoms
D(E_F)   3.92 states/eV per cell

=====

CrBi2SbN: PBEsol geometry, meta-GGA SCAN.

a = 5.8509 Å, b = 5.8509 Å, c = 5.0036 Å
α = 90.00°, β = 90.00°, γ = 90.00°
Closest atoms and distances in Å follow each position.
Space group P4/mmm (No. 123)
One atom of each set of equivalent atoms:
Cr: 0.0000 0.0000 0.0000  2 Sb 2.50
Bi: 0.0000 0.5000 0.5000  2 Sb 2.93
Sb: 0.0000 0.0000 0.5000  2 Cr 2.50
N: 0.5000 0.5000 0.0000  8 Bi 3.85, 4 Cr 4.14

## Properties
Size of the total moment   6.40 Bohr magnetons per cell
D(E_F)   3.36 states/eV per cell
ΔE_f (raw)   1654.0 meV per atom

=====

GdAg: PBEsol geometry, meta-GGA SCAN.

a = 3.6012 Å, b = 3.6012 Å, c = 3.6012 Å
α = 90.00°, β = 90.00°, γ = 90.00°
Closest atoms and distances in Å follow each position.
Space group Pm-3m (No. 221)
One atom of each set of equivalent atoms:
Gd: 0.0000 0.0000 0.0000  8 Ag 3.12
Ag: 0.5000 0.5000 0.5000  8 Gd 3.12

## Properties
Size of the total moment   7.61 Bohr magnetons per cell
E_form   -27.3 kJ per mole of atoms
D(E_F)   1.97 states/eV per cell

=====

FeHgAu2: PBEsol geometry, meta-GGA SCAN.

a = 4.1509 Å, b = 4.1509 Å, c = 7.7211 Å
α = 90.00°, β = 90.00°, γ = 90.00°
Closest atoms and distances in Å follow each position.
Space group I4/mmm (No. 139)
One atom of each set of equivalent atoms:
Fe: 0.0000 0.0000 0.0000  8 Au 2.83, 4 Hg 2.94
Hg: 0.0000 0.0000 0.5000  8 Au 2.83, 4 Fe 2.94
Au: 0.0000 0.5000 0.2500  4 Fe 2.83, 4 Hg 2.83, 4 Au 2.94

## Properties
Size of the total moment   6.55 Bohr magnetons per cell
E_form   14.5 kJ per mole of atoms
D(E_F)   4.27 states/eV per cell